The following is a GGA-PBEsol calculation of a relaxed structure of ZrAg5, from the Alexandria database.

Cell and atoms, written as extended XYZ:
```
6
Lattice="2.8655 0.0000 0.0000 0.0000 4.8118 0.0000 -1.4327 0.0000 7.5666" Properties=species:S:1:pos:R:3 pbc="T T T"
Zr 1.4327 2.4059 5.9191
Ag 0.0000 0.0000 0.0086
Ag 1.4327 0.0000 2.5059
Ag 0.0000 0.0000 4.9597
Ag 1.4327 2.4059 0.9151
Ag 0.0000 2.4059 3.3469
```

calculated total energy = -4.27 eV per atom
V = 104.3 Å³ per cell
density = 10.0 Mg/m³
formation energy = 0.02 eV/f.u.
Fermi-level density of states = 0.50 states/eV per atom
ΔE to the lowest computed polymorph = 26 meV per atom


The following is a GGA-PBEsol calculation of a relaxed structure of ZrAg2, from the Alexandria database.

Cell and atoms, written as extended XYZ:
```
6
Lattice="-2.0959 0.7059 -2.4284 3.8218 -3.8153 -2.1863 -4.4892 -3.4017 2.8857" Properties=species:S:1:pos:R:3 pbc="T T T"
Zr 0.0364 -3.7288 -1.1153
Zr -2.7997 -2.7823 -0.6137
Ag -1.7667 -5.6463 -2.3377
Ag -2.3252 -5.4514 0.4222
Ag -0.4381 -1.0597 -2.1512
Ag -0.9966 -0.8648 0.6088
```

calculated total energy = -5.27 eV per atom
V = 111.0 Å³ per cell
density = 9.2 Mg/m³
formation energy = -0.09 eV/f.u.
Fermi-level density of states = 0.48 states/eV per atom
ΔE to the lowest computed polymorph = 93 meV per atom